# PBE-GGA CaPr2GeN, relaxed
# Space group: P4/mmm, No. 123
# Raw formation energy (eV/atom): -0.848
data_CaPr2GeN
_chemical_formula_sum 'Ca1 Pr2 Ge1 N1'
_cell_length_a 4.765
_cell_length_b 5.009
_cell_length_c 5.009
_cell_angle_alpha 90.00
_cell_angle_beta 90.00
_cell_angle_gamma 90.00
_space_group_name_H-M_alt 'P 1'
_space_group_IT_number 1
_space_group_name_Hall 'P 1'
loop_
_atom_site_label
_atom_site_type_symbol
_atom_site_fract_x
_atom_site_fract_y
_atom_site_fract_z
Pr1 Pr 0.000 0.500 0.000
Pr2 Pr 0.000 0.000 0.500
N1 N 0.000 0.000 0.000
Ca1 Ca 0.500 0.000 0.000
Ge1 Ge 0.500 0.500 0.500